# CoAsSe2I

CoAsSe2I after structural relaxation (PBE-GGA, Alexandria via LeMat-Bulk).

Output
ΔE_f (raw)   404 meV per atom
DOS(E_F)   5.47 states/eV/cell
Magnetic moment   0.000 μB per atom
Energy   -18.25 eV for the cell shown

extended XYZ file:
```
5
Lattice="4.877 0.000 0.000 0.000 4.877 0.000 0.000 0.000 4.529" Properties=species:S:1:pos:R:3 pbc="T T T"
Co 0.000 0.000 0.000
As 0.000 0.000 2.265
Se 0.000 2.439 0.000
Se 2.439 0.000 0.000
I 2.439 2.439 2.265
```